DFT (PBE-GGA) results for a relaxed structure of V3Fe4.

Magnetization ... 0.59 μB/atom

abc: 4.9805 6.4195 6.4195
angles: 113.56 104.99 104.99
Fractional coordinates of all 14 atoms:
Fe  0.2170  0.8558  0.2907
Fe  0.3612  0.4349  0.1442
Fe  0.6388  0.5651  0.8558
V  0.1390  0.5776  0.8589
Fe  0.5000  0.0000  0.0000
V  0.4386  0.7187  0.5776
V  0.8610  0.4224  0.1411
V  0.7198  0.8589  0.2813
V  0.5614  0.2813  0.4224
Fe  0.0737  0.2907  0.4349
V  0.2802  0.1411  0.7187
Fe  0.0000  0.0000  0.0000
Fe  0.9263  0.7093  0.5651
Fe  0.7830  0.1442  0.7093

***

DFT (PBE-GGA) results for a relaxed structure of VFe4.

Distance to the lowest polymorph of the same formula ... 6.36 eV per formula unit
Magnetization ... 1.52 μB/atom

abc: 4.1929 4.1929 4.1929
angles: 90.00 90.00 90.00
Fractional coordinates of all 5 atoms:
Fe  0.5000  0.5000  0.0000
Fe  0.0000  0.5000  0.5000
V  0.5000  0.5000  0.5000
Fe  0.5000  0.0000  0.5000
Fe  0.0000  0.0000  0.0000

***

DFT (PBE-GGA) results for a relaxed structure of V4Fe.

Distance to the lowest polymorph of the same formula ... 2.18 eV per formula unit
Magnetization ... 0.00 μB/atom

abc: 5.7111 5.7111 5.7111
angles: 104.69 104.69 119.52
Fractional coordinates of all 10 atoms:
V  0.6691  0.8726  0.7965
V  0.6226  0.3260  0.7035
Fe  0.2500  0.7500  0.5000
V  0.6226  0.9191  0.2965
V  0.0760  0.8726  0.2035
V  0.1274  0.9240  0.7965
Fe  0.5000  0.5000  0.0000
V  0.0809  0.3774  0.7035
V  0.6740  0.3774  0.2965
V  0.1274  0.3309  0.2035

***

DFT (PBE-GGA) results for a relaxed structure of V4Fe.

Distance to the lowest polymorph of the same formula ... 4.54 eV per formula unit
Magnetization ... 0.43 μB/atom

abc: 4.2773 4.2773 4.2773
angles: 90.00 90.00 90.00
Fractional coordinates of all 5 atoms:
V  0.0000  0.5000  0.5000
V  0.5000  0.0000  0.5000
V  0.0000  0.0000  0.0000
Fe  0.5000  0.5000  0.5000
V  0.5000  0.5000  0.0000

***

DFT (PBE-GGA) results for a relaxed structure of V3Fe.

Magnetization ... 0.34 μB/atom

abc: 3.7225 3.7225 3.7225
angles: 90.00 90.00 90.00
Fractional coordinates of all 4 atoms:
V  0.5000  0.5000  0.0000
V  0.5000  0.0000  0.5000
V  0.0000  0.5000  0.5000
Fe  0.0000  0.0000  0.0000

***

DFT (PBE-GGA) results for a relaxed structure of V7Fe3.

Magnetization ... 0.00 μB/atom

abc: 5.1501 7.6046 7.6046
angles: 120.00 90.00 90.00
Fractional coordinates of all 20 atoms:
V  0.4955  0.3333  0.6667
V  0.6651  0.5213  0.0426
V  0.9252  0.8777  0.1223
Fe  0.3805  0.7866  0.2134
Fe  0.8805  0.2134  0.4268
V  0.9252  0.2446  0.1223
V  0.4252  0.7554  0.8777
V  0.6651  0.5213  0.4787
V  0.1651  0.4787  0.9574
Fe  0.8805  0.2134  0.7866
V  0.4252  0.1223  0.2446
V  0.4252  0.1223  0.8777
V  0.9252  0.8777  0.7554
Fe  0.3805  0.7866  0.5732
Fe  0.3805  0.4268  0.2134
Fe  0.8805  0.5732  0.7866
V  0.6651  0.9574  0.4787
V  0.9955  0.6667  0.3333
V  0.1651  0.4787  0.5213
V  0.1651  0.0426  0.5213

***

Number 1: DFT total energy -0.32577 hartree per atom, ΔH_f (0 K) -0.12 eV per atom. Number 2: DFT total energy -0.27247 hartree per atom, ΔH_f (0 K) 1.18 eV per atom. Number 3: DFT total energy -0.31765 hartree per atom, ΔH_f (0 K) 0.34 eV per atom. Number 4: DFT total energy -0.30030 hartree per atom, ΔH_f (0 K) 0.82 eV per atom. Number 5: DFT total energy -0.32335 hartree per atom, ΔH_f (0 K) 0.16 eV per atom. Number 6: DFT total energy -0.32625 hartree per atom, ΔH_f (0 K) 0.04 eV per atom.